Tm5AlRu4 | Alexandria | GGA-PBE | relaxed; energy of formation = -455 meV per atom; magnetization = 0.0 Bohr magnetons per cell; space-group type = P4/mmm (123)
1.0
3.387 0.000 0.000
0.000 3.387 0.000
0.000 0.000 17.120
Tm Al Ru
5 1 4
direct
0.500 0.500 0.114
0.500 0.500 0.306
0.500 0.500 0.500
0.500 0.500 0.694
0.500 0.500 0.886
0.000 0.000 0.000
0.000 0.000 0.204
0.000 0.000 0.402
0.000 0.000 0.598
0.000 0.000 0.796

Li4In3Hg2 | Alexandria | GGA-PBE | relaxed; energy of formation = -281 meV per atom; magnetization = 0.0 Bohr magnetons per cell; space-group type = C2/m (12)
1.0
4.797 0.000 0.000
2.399 4.157 0.165
-0.002 -0.337 9.056
Li In Hg
4 3 2
direct
0.666 0.667 0.885
0.000 0.999 0.323
0.000 0.001 0.677
0.334 0.333 0.115
0.333 0.333 0.437
0.000 0.000 0.000
0.667 0.667 0.563
0.333 0.335 0.803
0.667 0.665 0.197

SrCeMg6 | Alexandria | GGA-PBE | relaxed; energy of formation = 49 meV per atom; magnetization = 1.3 Bohr magnetons per cell; space-group type = P4/mmm (123)
1.0
-5.256 -4.221 -1.642
1.888 -4.328 5.084
-2.801 2.317 3.012
Sr Ce Mg
1 1 6
direct
0.625 0.375 0.500
0.125 0.875 0.500
0.125 0.375 0.500
0.625 0.875 0.500
0.364 0.114 0.000
0.886 0.636 0.000
0.364 0.636 0.000
0.886 0.114 0.000

YRuPb3 | Alexandria | GGA-PBE | relaxed; energy of formation = 293 meV per atom; magnetization = 0.0 Bohr magnetons per cell; space-group type = Pm-3m (221); excess energy over the best structure of this formula in the dataset = 0 meV per atom
1.0
-1.635 -2.261 -4.476
-3.600 -2.748 2.703
-3.491 3.893 -0.692
Pb Ru Y
3 1 1
direct
0.000 0.500 0.000
0.000 0.000 0.500
0.500 0.000 0.000
0.000 0.000 0.000
0.500 0.500 0.500

Nd5Sm3Sn2 | Alexandria | GGA-PBE | relaxed; energy of formation = -58 meV per atom; magnetization = 0.0 Bohr magnetons per cell; space-group type = Ibam (72)
1.0
-1.360 -5.940 -2.454
0.572 -7.104 8.086
-10.705 -0.767 -1.000
Nd Sm Sn
10 6 4
direct
0.250 0.500 0.500
0.750 0.500 0.500
0.500 0.750 0.750
0.000 0.250 0.250
0.500 0.250 0.250
0.000 0.750 0.750
0.093 0.572 0.243
0.907 0.428 0.757
0.593 0.243 0.572
0.407 0.757 0.428
0.250 0.000 0.000
0.750 0.000 0.000
0.374 0.337 0.914
0.626 0.663 0.086
0.874 0.914 0.337
0.126 0.086 0.663
0.132 0.722 0.015
0.868 0.278 0.985
0.632 0.015 0.722
0.368 0.985 0.278

Nd3SmSn3 | Alexandria | GGA-PBE | relaxed; energy of formation = -456 meV per atom; magnetization = 0.0 Bohr magnetons per cell; space-group type = P6_3/m (176)
1.0
6.260 0.000 0.000
0.000 9.631 0.000
0.000 -4.815 8.340
Nd Sm Sn
6 2 6
direct
0.750 0.696 0.678
0.750 0.322 0.018
0.750 0.982 0.304
0.250 0.304 0.322
0.250 0.678 0.982
0.250 0.018 0.696
0.250 0.667 0.333
0.750 0.333 0.667
0.250 0.648 0.651
0.250 0.349 0.997
0.250 0.003 0.352
0.750 0.352 0.349
0.750 0.651 0.003
0.750 0.997 0.648

GaNiAu | Alexandria | GGA-PBE | relaxed; energy of formation = -195 meV per atom; magnetization = 0.0 Bohr magnetons per cell; space-group type = Pmmm (47)
1.0
4.407 0.000 0.000
0.000 3.891 0.000
0.000 0.000 2.893
Ga Ni Au
1 1 1
direct
0.500 0.500 0.500
0.500 0.000 0.000
0.000 0.000 0.500

LaTa2Os | Alexandria | GGA-PBE | relaxed; energy of formation = 166 meV per atom; magnetization = 0.0 Bohr magnetons per cell; space-group type = P4/mmm (123); excess energy over the best structure of this formula in the dataset = 77 meV per atom
1.0
3.160 0.000 0.000
0.000 3.151 0.005
0.000 3.139 8.240
La Os Ta
1 1 2
direct
0.500 0.250 0.250
0.500 0.750 0.750
0.000 0.055 0.944
0.000 0.445 0.556

Pr2SmSi2 | Alexandria | GGA-PBE | relaxed; magnetization = 0.0 Bohr magnetons per cell; space-group type = P4/mbm (127); excess energy over the best structure of this formula in the dataset = 0 meV per atom; formation energy from raw total energies = -642 meV per atom
1.0
-0.980 -3.472 -2.535
-3.739 -3.284 5.943
-6.568 3.470 -2.215
Pr Sm Si
4 2 4
direct
0.500 0.177 0.677
0.500 0.677 0.823
0.500 0.823 0.323
0.500 0.323 0.177
0.000 0.000 0.000
0.000 0.500 0.500
0.000 0.388 0.888
0.000 0.888 0.612
0.000 0.612 0.112
0.000 0.112 0.388

Tl2SnHg8 | Alexandria | GGA-PBE | relaxed; energy of formation = 14 meV per atom; magnetization = 0.0 Bohr magnetons per cell; space-group type = P4/mmm (123)
1.0
-0.701 4.970 1.060
-5.027 -0.522 -0.877
-1.743 -2.721 11.605
Tl Sn Hg
2 1 8
direct
0.000 0.000 0.324
0.000 0.000 0.676
0.000 0.000 0.000
0.000 0.500 0.500
0.500 0.000 0.500
0.500 0.500 0.314
0.500 0.500 0.686
0.000 0.500 0.144
0.500 0.000 0.144
0.000 0.500 0.856
0.500 0.000 0.856

MnCrIrW | Alexandria | GGA-PBE | relaxed; energy of formation = 12 meV per atom; magnetization = 3.6 Bohr magnetons per cell; space-group type = F-43m (216)
1.0
4.298 0.000 0.000
2.149 3.723 0.000
2.149 1.241 3.510
Mn Ir W Cr
1 1 1 1
direct
0.750 0.750 0.750
0.000 0.000 0.000
0.250 0.250 0.250
0.500 0.500 0.500

AsAu3O | Alexandria | GGA-PBE | relaxed; magnetization = 0.0 Bohr magnetons per cell; space-group type = Pm-3m (221); excess energy over the best structure of this formula in the dataset = 368 meV per atom; formation energy from raw total energies = 919 meV per atom
1.0
-0.823 -3.716 -3.056
4.746 -1.135 0.102
-0.788 -2.954 3.804
As Au O
1 3 1
direct
0.000 0.000 0.000
0.000 0.500 0.000
0.000 0.000 0.500
0.500 0.000 0.000
0.500 0.500 0.500

Sm4PS3 | Alexandria | GGA-PBE | relaxed; magnetization = 0.0 Bohr magnetons per cell; space-group type = Pm-3m (221); formation energy from raw total energies = -1957 meV per atom
1.0
-5.419 0.301 1.748
1.300 -3.146 4.573
1.206 4.745 2.922
Sm P S
4 1 3
direct
0.500 0.000 0.000
0.000 0.500 0.000
0.000 0.000 0.500
0.500 0.500 0.500
0.000 0.000 0.000
0.000 0.500 0.500
0.500 0.000 0.500
0.500 0.500 0.000

LaSm2Dy | Alexandria | GGA-PBE | relaxed; energy of formation = 121 meV per atom; magnetization = 0.0 Bohr magnetons per cell; space-group type = P4/mmm (123); excess energy over the best structure of this formula in the dataset = 101 meV per atom
1.0
4.288 0.000 0.000
0.000 4.288 0.000
0.000 0.000 7.438
La Sm Dy
1 2 1
direct
0.500 0.500 0.500
0.000 0.000 0.759
0.000 0.000 0.241
0.500 0.500 0.000

TbEuHgPd | Alexandria | GGA-PBE | relaxed; energy of formation = -571 meV per atom; magnetization = 7.0 Bohr magnetons per cell; space-group type = F-43m (216)
1.0
-4.046 -0.548 3.237
-4.162 -2.766 -1.476
-0.970 -4.623 2.199
Eu Tb Hg Pd
1 1 1 1
direct
0.250 0.250 0.250
0.750 0.750 0.750
0.500 0.500 0.500
0.000 0.000 0.000

LiSi3P | Alexandria | GGA-PBE | relaxed; magnetization = 0.0 Bohr magnetons per cell; space-group type = Pm-3m (221); excess energy over the best structure of this formula in the dataset = 291 meV per atom; formation energy from raw total energies = 974 meV per atom
1.0
-2.609 -1.543 -3.149
3.453 -1.817 -1.971
-0.613 -3.664 2.303
P Si Li
1 3 1
direct
0.500 0.500 0.500
0.000 0.500 0.000
0.000 0.000 0.500
0.500 0.000 0.000
0.000 0.000 0.000

LiLuSiRh | Alexandria | GGA-PBE | relaxed; magnetization = 0.0 Bohr magnetons per cell; space-group type = F-43m (216); formation energy from raw total energies = -672 meV per atom
1.0
-1.174 -2.790 -3.282
2.705 -3.363 -1.146
-1.145 -4.210 0.951
Si Lu Rh Li
1 1 1 1
direct
0.750 0.750 0.750
0.250 0.250 0.250
0.000 0.000 0.000
0.500 0.500 0.500

RbRhI2O8 | Alexandria | GGA-PBE | relaxed; magnetization = 0.0 Bohr magnetons per cell; space-group type = P-3 (147); formation energy from raw total energies = -513 meV per atom
1.0
-1.326 5.464 0.766
-4.113 -3.890 -0.384
0.246 -1.021 7.706
Rb Rh I O
1 1 2 8
direct
0.000 0.000 0.000
0.000 0.000 0.500
0.667 0.333 0.354
0.333 0.667 0.646
0.333 0.667 0.876
0.290 0.284 0.354
0.716 0.006 0.354
0.667 0.333 0.124
0.284 0.994 0.646
0.710 0.716 0.646
0.006 0.290 0.646
0.994 0.710 0.354

KAg2P | Alexandria | GGA-PBE | relaxed; energy of formation = 203 meV per atom; magnetization = 0.0 Bohr magnetons per cell; space-group type = Imm2 (44)
1.0
-2.393 -4.084 3.902
3.684 -4.523 1.901
-1.472 5.949 -0.277
Ag K P
2 1 1
direct
0.022 0.022 0.000
0.792 0.292 0.500
0.478 0.478 0.000
0.209 0.709 0.500

MgP2HCl | Alexandria | GGA-PBE | relaxed; magnetization = 0.0 Bohr magnetons per cell; space-group type = P4/mmm (123); excess energy over the best structure of this formula in the dataset = 0 meV per atom
1.0
3.624 0.000 0.000
0.000 3.624 0.000
0.000 0.000 5.833
P Mg H Cl
2 1 1 1
direct
0.000 0.500 0.000
0.500 0.000 0.000
0.500 0.500 0.500
0.000 0.000 0.000
0.000 0.000 0.500